No. 1
Computed, not measured: a crystal of CsCdCl3 relaxed with PBEsol at the meta-GGA SCAN level of DFT.

* formation energy (no corrections): -823 kJ/mol of formula units
* magnetization: 0.000 Bohr magnetons per cell
* theoretical density: 4.1 g cm⁻³

Cell and atoms, written as CIF:
```
data_CsCdCl3
_symmetry_space_group_name_H-M 'P m -3 m'
_symmetry_Int_Tables_number 221
_symmetry_space_group_name_Hall '-P 4 2 3'
_cell_length_a 5.205
_cell_length_b 5.205
_cell_length_c 5.205
_cell_angle_alpha 90.00
_cell_angle_beta 90.00
_cell_angle_gamma 90.00
loop_
_atom_site_label
_atom_site_type_symbol
_atom_site_fract_x
_atom_site_fract_y
_atom_site_fract_z
Cs1 Cs 0.000 0.000 0.000
Cd1 Cd 0.500 0.500 0.500
Cl1 Cl 0.000 0.500 0.500
```



No. 2
Computed, not measured: a crystal of CsCdCl3 relaxed with PBEsol at the meta-GGA SCAN level of DFT.

* formation energy (no corrections): -821 kJ/mol of formula units
* magnetization: 0.000 Bohr magnetons per cell
* theoretical density: 4.0 g cm⁻³

Cell and atoms, written as CIF:
```
data_CsCdCl3
_symmetry_space_group_name_H-M 'P 63/m m c'
_symmetry_Int_Tables_number 194
_symmetry_space_group_name_Hall '-P 6c 2c'
_cell_length_a 7.2587
_cell_length_b 7.2587
_cell_length_c 6.4344
_cell_angle_alpha 90.00
_cell_angle_beta 90.00
_cell_angle_gamma 120.00
loop_
_atom_site_label
_atom_site_type_symbol
_atom_site_fract_x
_atom_site_fract_y
_atom_site_fract_z
Cs1 Cs 0.3333 0.6667 0.2500
Cd1 Cd 0.0000 0.0000 0.0000
Cl1 Cl 0.1651 0.3301 0.7500
```



No. 3
Computed, not measured: a crystal of CsCdPCl2 relaxed with PBEsol at the meta-GGA SCAN level of DFT.

* formation energy (no corrections): 152 kJ/mol of formula units
* magnetization: 1.996 Bohr magnetons per cell
* theoretical density: 2.6 g cm⁻³

Cell and atoms, written as CIF:
```
data_CsCdPCl2
_symmetry_space_group_name_H-M 'P 4/m m m'
_symmetry_Int_Tables_number 123
_symmetry_space_group_name_Hall '-P 4 2'
_cell_length_a 6.169
_cell_length_b 6.169
_cell_length_c 5.925
_cell_angle_alpha 90.00
_cell_angle_beta 90.00
_cell_angle_gamma 90.00
loop_
_atom_site_label
_atom_site_type_symbol
_atom_site_fract_x
_atom_site_fract_y
_atom_site_fract_z
Cs1 Cs 0.000 0.000 0.000
Cd1 Cd 0.500 0.500 0.500
P1 P 0.000 0.000 0.500
Cl1 Cl 0.000 0.500 0.000
```



No. 4
Computed, not measured: a crystal of CdCuCl2 relaxed with PBEsol at the meta-GGA SCAN level of DFT.

* formation energy (no corrections): -153 kJ/mol of formula units
* magnetization: 0.559 Bohr magnetons per cell
* theoretical density: 5.0 g cm⁻³

Cell and atoms, written as CIF:
```
data_CdCuCl2
_symmetry_space_group_name_H-M 'I m m m'
_symmetry_Int_Tables_number 71
_symmetry_space_group_name_Hall '-I 2 2'
_cell_length_a 3.231
_cell_length_b 5.736
_cell_length_c 8.874
_cell_angle_alpha 90.00
_cell_angle_beta 90.00
_cell_angle_gamma 90.00
loop_
_atom_site_label
_atom_site_type_symbol
_atom_site_fract_x
_atom_site_fract_y
_atom_site_fract_z
Cd1 Cd 0.000 0.000 0.000
Cu1 Cu 0.000 0.000 0.500
Cl1 Cl 0.000 0.500 0.184
```



No. 5
Computed, not measured: a crystal of CdCuH8Cl4O4 relaxed with PBEsol at the meta-GGA SCAN level of DFT.

* VASP energy: -148.66 eV per cell
* magnetization: 1.040 Bohr magnetons per cell
* theoretical density: 2.9 g cm⁻³

Cell and atoms, written as CIF:
```
data_CdCuH8Cl4O4
_symmetry_space_group_name_H-M 'P -1'
_symmetry_Int_Tables_number 2
_symmetry_space_group_name_Hall '-P 1'
_cell_length_a 3.988
_cell_length_b 6.900
_cell_length_c 8.373
_cell_angle_alpha 93.37
_cell_angle_beta 96.42
_cell_angle_gamma 105.64
loop_
_atom_site_label
_atom_site_type_symbol
_atom_site_fract_x
_atom_site_fract_y
_atom_site_fract_z
Cd1 Cd 0.000 0.000 0.000
Cu1 Cu 0.500 0.000 0.500
H1 H 0.094 0.652 0.379
H2 H 0.317 0.558 0.797
H3 H 0.331 0.640 0.548
H4 H 0.434 0.405 0.668
Cl1 Cl 0.073 0.055 0.315
Cl2 Cl 0.381 0.739 0.010
O1 O 0.271 0.491 0.684
O2 O 0.341 0.712 0.443
```



No. 6
Computed, not measured: a crystal of CdCuI2Cl relaxed with PBEsol at the meta-GGA SCAN level of DFT.

* formation energy (no corrections): 42 kJ/mol of formula units
* magnetization: 0.000 Bohr magnetons per cell
* theoretical density: 5.6 g cm⁻³

Cell and atoms, written as CIF:
```
data_CdCuI2Cl
_symmetry_space_group_name_H-M 'P 4/m m m'
_symmetry_Int_Tables_number 123
_symmetry_space_group_name_Hall '-P 4 2'
_cell_length_a 5.059
_cell_length_b 5.059
_cell_length_c 5.353
_cell_angle_alpha 90.00
_cell_angle_beta 90.00
_cell_angle_gamma 90.00
loop_
_atom_site_label
_atom_site_type_symbol
_atom_site_fract_x
_atom_site_fract_y
_atom_site_fract_z
Cd1 Cd 0.000 0.000 0.000
Cu1 Cu 0.000 0.000 0.500
I1 I 0.000 0.500 0.500
Cl1 Cl 0.500 0.500 0.000
```



No. 7
Computed, not measured: a crystal of CdCuP2Cl relaxed with PBEsol at the meta-GGA SCAN level of DFT.

* formation energy (no corrections): 539 kJ/mol of formula units
* magnetization: 1.991 Bohr magnetons per cell
* theoretical density: 3.7 g cm⁻³

Cell and atoms, written as CIF:
```
data_CdCuP2Cl
_symmetry_space_group_name_H-M 'P 4/m m m'
_symmetry_Int_Tables_number 123
_symmetry_space_group_name_Hall '-P 4 2'
_cell_length_a 4.902
_cell_length_b 4.902
_cell_length_c 5.106
_cell_angle_alpha 90.00
_cell_angle_beta 90.00
_cell_angle_gamma 90.00
loop_
_atom_site_label
_atom_site_type_symbol
_atom_site_fract_x
_atom_site_fract_y
_atom_site_fract_z
Cd1 Cd 0.000 0.000 0.000
Cu1 Cu 0.500 0.500 0.500
P1 P 0.000 0.500 0.000
Cl1 Cl 0.000 0.000 0.500
```



No. 8
Computed, not measured: a crystal of CdNClF2 relaxed with PBEsol at the meta-GGA SCAN level of DFT.

* formation energy (no corrections): -42 kJ/mol of formula units
* magnetization: 2.212 Bohr magnetons per cell
* theoretical density: 3.6 g cm⁻³

Cell and atoms, written as CIF:
```
data_CdNClF2
_symmetry_space_group_name_H-M 'P 4/m m m'
_symmetry_Int_Tables_number 123
_symmetry_space_group_name_Hall '-P 4 2'
_cell_length_a 4.078
_cell_length_b 4.078
_cell_length_c 5.600
_cell_angle_alpha 90.00
_cell_angle_beta 90.00
_cell_angle_gamma 90.00
loop_
_atom_site_label
_atom_site_type_symbol
_atom_site_fract_x
_atom_site_fract_y
_atom_site_fract_z
Cd1 Cd 0.000 0.000 0.000
N1 N 0.000 0.000 0.500
Cl1 Cl 0.500 0.500 0.500
F1 F 0.000 0.500 0.000
```



No. 9
Computed, not measured: a crystal of CdPbClF2 relaxed with PBEsol at the meta-GGA SCAN level of DFT.

* formation energy (no corrections): -696 kJ/mol of formula units
* magnetization: 0.845 Bohr magnetons per cell
* theoretical density: 6.4 g cm⁻³

Cell and atoms, written as CIF:
```
data_CdPbClF2
_symmetry_space_group_name_H-M 'P 4/m m m'
_symmetry_Int_Tables_number 123
_symmetry_space_group_name_Hall '-P 4 2'
_cell_length_a 4.399
_cell_length_b 4.399
_cell_length_c 5.272
_cell_angle_alpha 90.00
_cell_angle_beta 90.00
_cell_angle_gamma 90.00
loop_
_atom_site_label
_atom_site_type_symbol
_atom_site_fract_x
_atom_site_fract_y
_atom_site_fract_z
Cd1 Cd 0.000 0.000 0.000
Pb1 Pb 0.500 0.500 0.500
Cl1 Cl 0.000 0.000 0.500
F1 F 0.000 0.500 0.000
```



No. 10
Computed, not measured: a crystal of Cd2FeCl relaxed with PBEsol at the meta-GGA SCAN level of DFT.

* formation energy (no corrections): 26 kJ/mol of formula units
* energy relative to the lowest polymorph listed for this composition: 0.0 kJ/mol of formula units
* magnetization: 5.471 Bohr magnetons per cell
* theoretical density: 7.3 g cm⁻³

Cell and atoms, written as CIF:
```
data_Cd2FeCl
_symmetry_space_group_name_H-M 'C m m m'
_symmetry_Int_Tables_number 65
_symmetry_space_group_name_Hall '-C 2 2'
_cell_length_a 5.746
_cell_length_b 8.273
_cell_length_c 3.034
_cell_angle_alpha 90.00
_cell_angle_beta 90.00
_cell_angle_gamma 90.00
loop_
_atom_site_label
_atom_site_type_symbol
_atom_site_fract_x
_atom_site_fract_y
_atom_site_fract_z
Cd1 Cd 0.250 0.250 0.000
Fe1 Fe 0.000 0.000 0.500
Cl1 Cl 0.000 0.500 0.500
```



No. 11
Computed, not measured: a crystal of CdFeCl2 relaxed with PBEsol at the meta-GGA SCAN level of DFT.

* formation energy (no corrections): 100 kJ/mol of formula units
* magnetization: 11.274 Bohr magnetons per cell
* theoretical density: 5.2 g cm⁻³

Cell and atoms, written as CIF:
```
data_CdFeCl2
_symmetry_space_group_name_H-M 'F -4 3 m'
_symmetry_Int_Tables_number 216
_symmetry_space_group_name_Hall 'F -4 2 3'
_cell_length_a 6.731
_cell_length_b 6.731
_cell_length_c 6.731
_cell_angle_alpha 90.00
_cell_angle_beta 90.00
_cell_angle_gamma 90.00
loop_
_atom_site_label
_atom_site_type_symbol
_atom_site_fract_x
_atom_site_fract_y
_atom_site_fract_z
Cd1 Cd 0.000 0.000 0.000
Fe1 Fe 0.250 0.250 0.750
Cl1 Cl 0.000 0.000 0.500
Cl2 Cl 0.250 0.250 0.250
```



No. 12
Computed, not measured: a crystal of CdFeCl3 relaxed with PBEsol at the meta-GGA SCAN level of DFT.

* formation energy (no corrections): -309 kJ/mol of formula units
* energy relative to the lowest polymorph listed for this composition: 0.0 kJ/mol of formula units
* magnetization: 3.513 Bohr magnetons per cell
* theoretical density: 4.3 g cm⁻³

Cell and atoms, written as CIF:
```
data_CdFeCl3
_symmetry_space_group_name_H-M 'P m -3 m'
_symmetry_Int_Tables_number 221
_symmetry_space_group_name_Hall '-P 4 2 3'
_cell_length_a 4.722
_cell_length_b 4.722
_cell_length_c 4.722
_cell_angle_alpha 90.00
_cell_angle_beta 90.00
_cell_angle_gamma 90.00
loop_
_atom_site_label
_atom_site_type_symbol
_atom_site_fract_x
_atom_site_fract_y
_atom_site_fract_z
Cd1 Cd 0.000 0.000 0.000
Fe1 Fe 0.500 0.500 0.500
Cl1 Cl 0.000 0.500 0.500
```



No. 13
Computed, not measured: a crystal of CdFeCl relaxed with PBEsol at the meta-GGA SCAN level of DFT.

* formation energy (no corrections): 188 kJ/mol of formula units
* magnetization: 11.576 Bohr magnetons per cell
* theoretical density: 5.6 g cm⁻³

Cell and atoms, written as CIF:
```
data_CdFeCl
_symmetry_space_group_name_H-M 'F -4 3 m'
_symmetry_Int_Tables_number 216
_symmetry_space_group_name_Hall 'F -4 2 3'
_cell_length_a 6.222
_cell_length_b 6.222
_cell_length_c 6.222
_cell_angle_alpha 90.00
_cell_angle_beta 90.00
_cell_angle_gamma 90.00
loop_
_atom_site_label
_atom_site_type_symbol
_atom_site_fract_x
_atom_site_fract_y
_atom_site_fract_z
Cd1 Cd 0.000 0.000 0.000
Fe1 Fe 0.000 0.000 0.500
Cl1 Cl 0.250 0.250 0.250
```



No. 14
Computed, not measured: a crystal of Cd2FeCl relaxed with PBEsol at the meta-GGA SCAN level of DFT.

* formation energy (no corrections): 46 kJ/mol of formula units
* energy relative to the lowest polymorph listed for this composition: 20.2 kJ/mol of formula units
* magnetization: 2.948 Bohr magnetons per cell
* theoretical density: 7.0 g cm⁻³

Cell and atoms, written as CIF:
```
data_Cd2FeCl
_symmetry_space_group_name_H-M 'P 4/m m m'
_symmetry_Int_Tables_number 123
_symmetry_space_group_name_Hall '-P 4 2'
_cell_length_a 5.015
_cell_length_b 5.015
_cell_length_c 2.960
_cell_angle_alpha 90.00
_cell_angle_beta 90.00
_cell_angle_gamma 90.00
loop_
_atom_site_label
_atom_site_type_symbol
_atom_site_fract_x
_atom_site_fract_y
_atom_site_fract_z
Cd1 Cd 0.000 0.500 0.000
Fe1 Fe 0.000 0.000 0.500
Cl1 Cl 0.500 0.500 0.500
```



No. 15
Computed, not measured: a crystal of Cd4FeCl relaxed with PBEsol at the meta-GGA SCAN level of DFT.

* formation energy (no corrections): 180 kJ/mol of formula units
* magnetization: 12.167 Bohr magnetons per cell
* theoretical density: 7.0 g cm⁻³

Cell and atoms, written as CIF:
```
data_Cd4FeCl
_symmetry_space_group_name_H-M 'F -4 3 m'
_symmetry_Int_Tables_number 216
_symmetry_space_group_name_Hall 'F -4 2 3'
_cell_length_a 7.992
_cell_length_b 7.992
_cell_length_c 7.992
_cell_angle_alpha 90.00
_cell_angle_beta 90.00
_cell_angle_gamma 90.00
loop_
_atom_site_label
_atom_site_type_symbol
_atom_site_fract_x
_atom_site_fract_y
_atom_site_fract_z
Cd1 Cd 0.124 0.124 0.124
Fe1 Fe 0.250 0.250 0.750
Cl1 Cl 0.000 0.000 0.500
```